P | This record from Alexandria via LeMat-Bulk describes InRe after structural relaxation. The functional is PBE.

Its magnetization is 0.0 μB/cell.

It has space group R-3m (No. 166, hexagonal axes), with a = 2.9588 Å, b = 2.9588 Å, c = 13.9588 Å, α = 90.00°, β = 90.00° and γ = 120.00°. The distinct sites, in fractional coordinates, are In at (0.0000, 0.0000, 0.0000) and Re at (0.0000, 0.0000, 0.5000).

---

Q | This record from Alexandria via LeMat-Bulk describes InRe after structural relaxation. The functional is PBE.

Its magnetization is 0.0 μB/cell.

It has space group Pmmn (No. 59, origin choice 2), with a = 2.9836 Å, b = 4.7424 Å, c = 4.9651 Å, α = 90.00°, β = 90.00° and γ = 90.00°. The distinct sites, in fractional coordinates, are In at (0.2500, 0.2500, 0.0888) and Re at (0.2500, 0.7500, 0.4186).

---

R | This record from Alexandria via LeMat-Bulk describes InRe after structural relaxation. The functional is PBE.

Its magnetization is 7.8 μB/cell.

It has space group Fm-3m (No. 225), with a = 5.5146 Å, b = 5.5146 Å, c = 5.5146 Å, α = 90.00°, β = 90.00° and γ = 90.00°. The distinct sites, in fractional coordinates, are In at (0.0000, 0.0000, 0.0000) and Re at (0.0000, 0.0000, 0.5000).

---

S | This record from Alexandria via LeMat-Bulk describes InRe after structural relaxation. The functional is PBE.

Its magnetization is 0.0 μB/cell.

It has space group R-3m (No. 166, hexagonal axes), with a = 4.3975 Å, b = 4.3975 Å, c = 14.1320 Å, α = 90.00°, β = 90.00° and γ = 120.00°. The distinct sites, in fractional coordinates, are In at (0.0000, 0.0000, 0.1121) and Re at (0.0000, 0.0000, 0.3203).

---

Ranked by calculated energy, most stable first: S, Q, P, R.

---

P | This record from Alexandria via LeMat-Bulk describes InRe after structural relaxation. The functional is PBE.

Its magnetization is 0.0 μB/cell.

It has space group I4/mmm (No. 139), with a = 8.1189 Å, b = 8.1189 Å, c = 4.7230 Å, α = 90.00°, β = 90.00° and γ = 90.00°. The distinct sites, in fractional coordinates, are In at (0.0000, 0.2829, 0.0000) and Re at (0.1545, 0.1545, 0.5000).

---

Q | This record from Alexandria via LeMat-Bulk describes InRe after structural relaxation. The functional is PBE.

Its magnetization is 0.0 μB/cell.

It has space group R-3m (No. 166, hexagonal axes), with a = 2.9670 Å, b = 2.9670 Å, c = 28.7271 Å, α = 90.00°, β = 90.00° and γ = 120.00°. The distinct sites, in fractional coordinates, are In at (0.0000, 0.0000, 0.1193) and Re at (0.0000, 0.0000, 0.3682).

---

R | This record from Alexandria via LeMat-Bulk describes InRe after structural relaxation. The functional is PBE.

Its magnetization is 5.7 μB/cell.

It has space group I-43m (No. 217), with a = 8.3977 Å, b = 8.3977 Å, c = 8.3977 Å, α = 90.00°, β = 90.00° and γ = 90.00°. The distinct sites, in fractional coordinates, are In at (0.2073, 0.2073, 0.2073) and Re at (0.1050, 0.1050, 0.8950).

---

Ranked by calculated energy, most stable first: Q, P, R.